# TaNb2NiN (PBE, optimized geometry)
# E_tot: -0.353 Ha/atom
data_TaNb2NiN
_chemical_formula_sum 'Ta1 Nb2 Ni1 N1'
_cell_length_a 4.2171
_cell_length_b 4.2171
_cell_length_c 4.1666
_cell_angle_alpha 90.00
_cell_angle_beta 90.00
_cell_angle_gamma 90.00
_space_group_name_H-M_alt 'P 4/m m m'
_space_group_IT_number 123
_space_group_name_Hall '-P 4 2'
loop_
_atom_site_label
_atom_site_fract_x
_atom_site_fract_y
_atom_site_fract_z
_atom_site_occupancy
Ta1 0.0000 0.0000 0.0000 1
Nb1 0.0000 0.5000 0.5000 1
Ni1 0.5000 0.5000 0.0000 1
N1 0.0000 0.0000 0.5000 1

=====

# CeZn3Ni (PBE, optimized geometry)
# E_tot: -0.121 Ha/atom
# energy above the lowest structure with this stoichiometry: 90 meV/atom
data_CeZn3Ni
_chemical_formula_sum 'Ce4 Zn12 Ni4'
_cell_length_a 6.1996
_cell_length_b 9.1247
_cell_length_c 6.7225
_cell_angle_alpha 90.00
_cell_angle_beta 90.00
_cell_angle_gamma 90.00
_space_group_name_H-M_alt 'I m m a'
_space_group_IT_number 74
_space_group_name_Hall '-I 2b 2'
loop_
_atom_site_label
_atom_site_fract_x
_atom_site_fract_y
_atom_site_fract_z
_atom_site_occupancy
Ce1 0.0000 0.2500 0.0781 1
Zn1 0.0000 0.2500 0.5754 1
Zn2 0.2500 0.0428 0.7500 1
Ni1 0.0000 0.0000 0.5000 1

=====

# ZrScZnAg (PBE, optimized geometry)
# E_tot: -0.181 Ha/atom
data_ZrScZnAg
_chemical_formula_sum 'Zr4 Sc4 Zn4 Ag4'
_cell_length_a 6.8030
_cell_length_b 6.8030
_cell_length_c 6.8030
_cell_angle_alpha 90.00
_cell_angle_beta 90.00
_cell_angle_gamma 90.00
_space_group_name_H-M_alt 'F -4 3 m'
_space_group_IT_number 216
_space_group_name_Hall 'F -4 2 3'
loop_
_atom_site_label
_atom_site_fract_x
_atom_site_fract_y
_atom_site_fract_z
_atom_site_occupancy
Zr1 0.0000 0.0000 0.0000 1
Sc1 0.0000 0.0000 0.5000 1
Zn1 0.2500 0.2500 0.2500 1
Ag1 0.2500 0.2500 0.7500 1

=====

# Fe2Si2W (PBE, optimized geometry)
# E_tot: -0.309 Ha/atom
data_Fe2Si2W
_chemical_formula_sum 'Fe4 Si4 W2'
_cell_length_a 6.7262
_cell_length_b 6.7262
_cell_length_c 2.6512
_cell_angle_alpha 90.00
_cell_angle_beta 90.00
_cell_angle_gamma 90.00
_space_group_name_H-M_alt 'P 4/m b m'
_space_group_IT_number 127
_space_group_name_Hall '-P 4 2ab'
loop_
_atom_site_label
_atom_site_fract_x
_atom_site_fract_y
_atom_site_fract_z
_atom_site_occupancy
Fe1 0.1529 0.3471 0.0000 1
Si1 0.1406 0.6406 0.5000 1
W1 0.0000 0.0000 0.5000 1

=====

# Ac2ZnCdIn6 (PBE, optimized geometry)
# E_tot: -0.104 Ha/atom
data_Ac2ZnCdIn6
_chemical_formula_sum 'Ac12 Zn6 Cd6 In36'
_cell_length_a 7.2465
_cell_length_b 7.2465
_cell_length_c 38.2924
_cell_angle_alpha 90.00
_cell_angle_beta 90.00
_cell_angle_gamma 120.00
_space_group_name_H-M_alt 'R -3 m'
_space_group_IT_number 166
_space_group_name_Hall '-R 3 2"'
loop_
_atom_site_label
_atom_site_fract_x
_atom_site_fract_y
_atom_site_fract_z
_atom_site_occupancy
Ac1 0.0000 0.0000 0.1074 1
Ac2 0.0000 0.0000 0.2826 1
Zn1 0.0000 0.0000 0.0000 1
Zn2 0.0000 0.0000 0.5000 1
Cd1 0.0000 0.0000 0.4273 1
In1 0.0402 0.5201 0.2994 1
In2 0.0612 0.5306 0.8643 1

=====

# SrTm2In9 (PBE, optimized geometry)
# E_tot: -0.121 Ha/atom
data_SrTm2In9
_chemical_formula_sum 'Sr1 Tm2 In9'
_cell_length_a 4.6990
_cell_length_b 4.6990
_cell_length_c 14.0763
_cell_angle_alpha 90.00
_cell_angle_beta 90.00
_cell_angle_gamma 90.00
_space_group_name_H-M_alt 'P 4/m m m'
_space_group_IT_number 123
_space_group_name_Hall '-P 4 2'
loop_
_atom_site_label
_atom_site_fract_x
_atom_site_fract_y
_atom_site_fract_z
_atom_site_occupancy
Sr1 0.0000 0.0000 0.0000 1
Tm1 0.0000 0.0000 0.3406 1
In1 0.0000 0.5000 0.1763 1
In2 0.0000 0.5000 0.5000 1
In3 0.5000 0.5000 0.0000 1
In4 0.5000 0.5000 0.3360 1

=====

# Hf6AsN2 (PBE, optimized geometry)
# E_tot: -0.358 Ha/atom
data_Hf6AsN2
_chemical_formula_sum 'Hf24 As4 N8'
_cell_length_a 12.1774
_cell_length_b 9.7063
_cell_length_c 6.1798
_cell_angle_alpha 90.00
_cell_angle_beta 110.64
_cell_angle_gamma 90.00
_space_group_name_H-M_alt 'C 1 2/c 1'
_space_group_IT_number 15
_space_group_name_Hall '-C 2yc'
loop_
_atom_site_label
_atom_site_fract_x
_atom_site_fract_y
_atom_site_fract_z
_atom_site_occupancy
Hf1 0.1158 0.2288 0.4994 1
Hf2 0.1307 0.1060 0.0126 1
Hf3 0.1355 0.4452 0.1676 1
As1 0.0000 0.3431 0.7500 1
N1 0.1810 0.0637 0.7268 1